The following is a DFT calculation (PBE-GGA) of crystalline In2GaCu at its relaxed geometry.

Properties
Space group: R-3m (166)
ΔH_f (0 K) in eV per atom: 0.37

Cell: 4.502 4.502 7.401 Å, 72.29 72.29 60.00°
Element x y z (fractional)
Cu (0.500, 0.500, 0.500)
In (0.870, 0.870, 0.391)
In (0.130, 0.130, 0.609)
Ga (0.000, 0.000, 0.000)

The following is a DFT calculation (PBE-GGA) of crystalline LiFeSe2 at its relaxed geometry.

Properties
Space group: F-43m (216)
Formation energy without anion corrections in eV per atom: 0.3153

Cell: 4.632 4.632 4.632 Å, 60.00 60.00 60.00°
Each line ends with the local moment (μB).
Element x y z (fractional)
Li (0.750, 0.750, 0.750)  0.00
Fe (0.500, 0.500, 0.500)  3.03
Se (0.000, 0.000, 0.000)  0.07
Se (0.250, 0.250, 0.250)  0.01

The following is a DFT calculation (PBE-GGA) of crystalline Nd8TlHg2 at its relaxed geometry.

Properties
Space group: C2/m (12)
ΔH_f (0 K) in eV per atom: -0.22

Cell: 5.179 8.269 9.287 Å, 113.18 106.19 90.00°
Element x y z (fractional)
Hg (0.805, 0.344, 0.609)
Hg (0.195, 0.656, 0.391)
Nd (0.176, 0.261, 0.352)
Nd (0.677, 0.957, 0.354)
Nd (0.041, 0.754, 0.082)
Nd (0.824, 0.739, 0.648)
Nd (0.959, 0.246, 0.918)
Nd (0.592, 0.459, 0.185)
Nd (0.408, 0.541, 0.815)
Nd (0.323, 0.043, 0.646)
Tl (0.500, 0.000, 0.000)

The following is a DFT calculation (PBE-GGA) of crystalline Ac6PPt2Br2 at its relaxed geometry.

Properties
Space group: C2/m (12)
Formation energy without anion corrections in eV per atom: -1.1684

Cell: 7.732 7.732 7.873 Å, 99.18 99.18 118.07°
Element x y z (fractional)
Ac (0.076, 0.406, 0.715)
Ac (0.406, 0.076, 0.715)
Ac (0.594, 0.924, 0.285)
Ac (0.282, 0.282, 0.283)
Ac (0.718, 0.718, 0.717)
Ac (0.924, 0.594, 0.285)
Br (0.840, 0.160, 0.000)
Br (0.160, 0.840, 0.000)
Pt (0.330, 0.670, 0.500)
Pt (0.670, 0.330, 0.500)
P (0.000, 0.000, 0.500)

The following is a DFT calculation (PBE-GGA) of crystalline ZnIn3Hg6 at its relaxed geometry.

Properties
Space group: P2_1/m (11)
ΔH_f (0 K) in eV per atom: 0.03

Cell: 5.297 8.811 11.823 Å, 111.99 90.00 90.00°
Element x y z (fractional)
In (0.750, 0.847, 0.407)
In (0.750, 0.232, 0.997)
In (0.250, 0.153, 0.593)
In (0.250, 0.551, 0.211)
In (0.250, 0.768, 0.003)
In (0.750, 0.449, 0.789)
Hg (0.750, 0.044, 0.693)
Hg (0.250, 0.166, 0.118)
Hg (0.250, 0.956, 0.307)
Hg (0.750, 0.637, 0.098)
Hg (0.250, 0.732, 0.507)
Hg (0.250, 0.363, 0.902)
Hg (0.250, 0.551, 0.686)
Hg (0.750, 0.039, 0.197)
Hg (0.750, 0.834, 0.882)
Hg (0.750, 0.268, 0.493)
Hg (0.250, 0.961, 0.803)
Hg (0.750, 0.449, 0.314)
Zn (0.250, 0.348, 0.401)
Zn (0.750, 0.652, 0.599)

Looking at Fermi-level density of states for the records above, in order, we have 1.6 5.6 11.3 8.6 4.8 states/eV per cell.
Looking at uncorrected energy for the records above, in order, we have -11.11 -16.08 -43.50 -58.34 -10.98 eV per formula unit.